This record from Alexandria describes TbPm12Sc6 after structural relaxation. The functional is GGA-PBE.

Geometry as POSCAR:
```
TbPm12Sc6
1.0
-5.313 5.313 5.313
5.313 -5.313 5.313
5.313 5.313 -5.313
Tb Pm Sc
1 12 6
direct
0.000 0.000 0.000
0.070 0.801 0.269
0.199 0.269 0.467
0.199 0.731 0.930
0.269 0.070 0.801
0.269 0.467 0.199
0.467 0.199 0.269
0.533 0.801 0.731
0.731 0.533 0.801
0.731 0.930 0.199
0.801 0.269 0.070
0.801 0.731 0.533
0.930 0.199 0.731
0.138 0.638 0.500
0.362 0.500 0.862
0.500 0.138 0.638
0.500 0.862 0.362
0.638 0.500 0.138
0.862 0.362 0.500
```

Energy of formation from the pure elements in eV/f.u.: 4.5
Polymorph energy (0 for the lowest one) in eV/f.u.: 0.00
Spin magnetization in μB/f.u.: 0.0